1.
Density functional theory data (PBE) for a relaxed structure of TbSc2Pt.

Cell: 3.3792 3.3792 8.0452 Å, 90.00 90.00 90.00°
Last column: nearest neighbours and their distance in Å.
Space group P4/mmm (No. 123)
Inequivalent atoms, fractional coordinates:
Tb 0.0000 0.0000 0.0000  4 Tb 3.38, 8 Sc 3.44
Sc 0.5000 0.5000 0.3069  4 Pt 2.85, 1 Sc 3.11
Pt 0.0000 0.0000 0.5000  8 Sc 2.85

=====

2.
Density functional theory data (PBE) for a relaxed structure of TbSc2Pt.

Cell: 4.5657 11.3082 7.3806 Å, 90.00 90.00 90.00°
Last column: nearest neighbours and their distance in Å.
Space group Cmcm (No. 63)
Inequivalent atoms, fractional coordinates:
Tb 0.0000 0.0526 0.2500  1 Pt 2.85
Sc 0.0000 0.3461 0.0426  3 Pt 2.72-2.80
Pt 0.0000 0.1993 0.7500  6 Sc 2.72-2.80, 1 Tb 2.85

=====

3.
Density functional theory data (PBE) for a relaxed structure of Tb2ScPt.

Cell: 3.6201 3.6201 7.5645 Å, 90.00 90.00 90.00°
Last column: nearest neighbours and their distance in Å.
Space group P4/mmm (No. 123)
Inequivalent atoms, fractional coordinates:
Tb 0.0000 0.0000 0.2162  4 Pt 3.04, 1 Tb 3.27, 4 Sc 3.34
Sc 0.5000 0.5000 0.5000  8 Tb 3.34, 4 Sc 3.62
Pt 0.5000 0.5000 0.0000  8 Tb 3.04

=====

4.
Density functional theory data (PBE) for a relaxed structure of TbSc2Pt.

Cell: 6.8350 9.0921 6.1461 Å, 90.00 90.00 90.00°
Last column: nearest neighbours and their distance in Å.
Space group Pnma (No. 62)
Inequivalent atoms, fractional coordinates:
Tb 0.0162 0.2500 0.1200  2 Pt 2.81-2.90
Sc 0.1757 0.0579 0.6734  2 Pt 2.70-2.77
Pt 0.1107 0.7500 0.4298  4 Sc 2.70-2.77, 2 Tb 2.81-2.90

=====

5.
Density functional theory data (PBE) for a relaxed structure of Tb5Sc4Pt4.

Cell: 11.4972 11.4972 4.6055 Å, 90.00 90.00 90.00°
Last column: nearest neighbours and their distance in Å.
Space group I4/m (No. 87)
Inequivalent atoms, fractional coordinates:
Tb 0.0000 0.0000 0.0000  4 Pt 3.09
Tb 0.1274 0.8089 0.5000  3 Pt 2.94-3.02, 1 Sc 3.29
Sc 0.0938 0.3968 0.5000  3 Pt 2.73-2.82
Pt 0.0809 0.2562 0.0000  3 Sc 2.73-2.82, 3 Tb 2.94-3.02

=====

6.
Density functional theory data (PBE) for a relaxed structure of Tb5ScPt4.

Cell: 17.4302 4.0745 7.7827 Å, 90.00 105.13 90.00°
Last column: nearest neighbours and their distance in Å.
Space group C2/m (No. 12)
Inequivalent atoms, fractional coordinates:
Tb 0.0000 0.0000 0.0000  4 Pt 2.87
Tb 0.1664 0.5000 0.8538  3 Pt 2.78
Tb 0.1675 0.5000 0.3581  4 Pt 2.83-2.85
Sc 0.0000 0.0000 0.5000  6 Pt 2.77-2.79
Pt 0.0015 0.5000 0.7417  2 Sc 2.77, 4 Tb 2.78-2.87
Pt 0.1658 0.0000 0.6097  5 Tb 2.78-2.85, 1 Sc 2.79

=====

7.
Density functional theory data (PBE) for a relaxed structure of TbSc2Pt4.

Cell: 4.9285 7.8386 13.8590 Å, 90.00 90.00 90.00°
Last column: nearest neighbours and their distance in Å.
Space group Cmcm (No. 63)
Inequivalent atoms, fractional coordinates:
Tb 0.0000 0.0290 0.2500  3 Pt 2.70-2.81
Sc 0.0000 0.3359 0.0642  5 Pt 2.61-2.86
Pt 0.0000 0.0000 0.0000  6 Sc 2.78-2.92, 2 Pt 3.02
Pt 0.0000 0.3079 0.6310  4 Sc 2.71-2.94, 2 Pt 2.91-3.02
Pt 0.0000 0.3869 0.2500  2 Sc 2.61, 3 Tb 2.70-2.81, 2 Pt 2.91

=====

8.
Density functional theory data (PBE) for a relaxed structure of Tb2ScPt.

Cell: 3.6005 3.6005 30.9062 Å, 90.00 90.00 120.00°
Last column: nearest neighbours and their distance in Å.
Space group R-3m (No. 166, hexagonal axes)
Inequivalent atoms, fractional coordinates:
Tb 0.0000 0.0000 0.1053  3 Pt 2.81
Sc 0.0000 0.0000 0.0000  2 Tb 3.25, 6 Sc 3.60
Pt 0.0000 0.0000 0.5000  6 Tb 2.81

=====

One value per record, in order, for formation enthalpy at 0 K: -592 -698 -559 -697 -864 -899 -1111 -206 meV/atom.
One value per record, in order, for uncorrected energy: -6.4253 -6.5320 -5.9671 -6.5307 -6.4513 -6.2632 -7.0337 -5.6143 eV per atom.